a) # NaTa2Ir2 (GGA-PBE, optimized geometry)
data_NaTa2Ir2
_chemical_formula_sum 'Na2 Ta4 Ir4'
_space_group_name_H-M_alt 'P 1'
_space_group_IT_number 1
_cell_length_a 8.000
_cell_length_b 8.000
_cell_length_c 2.822
_cell_angle_alpha 90.00
_cell_angle_beta 90.00
_cell_angle_gamma 90.00
loop_
_space_group_symop_operation_xyz
'x,y,z'
loop_
_atom_site_label
_atom_site_type_symbol
_atom_site_fract_x
_atom_site_fract_y
_atom_site_fract_z
_atom_site_occupancy
Na1 Na 0.000 0.000 0.000 1
Na2 Na 0.500 0.500 0.000 1
Ta1 Ta 0.146 0.354 0.000 1
Ta2 Ta 0.354 0.854 0.000 1
Ta3 Ta 0.646 0.146 0.000 1
Ta4 Ta 0.854 0.646 0.000 1
Ir1 Ir 0.146 0.646 0.500 1
Ir2 Ir 0.354 0.146 0.500 1
Ir3 Ir 0.646 0.854 0.500 1
Ir4 Ir 0.854 0.354 0.500 1
# N(E_F) (states/eV/cell): 5.784
# Spin magnetization (μB per cell): 0.000

***

b) # NaTa2Ir2 (GGA-PBE, optimized geometry)
data_NaTa2Ir2
_chemical_formula_sum 'Na2 Ta4 Ir4'
_space_group_name_H-M_alt 'P 1'
_space_group_IT_number 1
_cell_length_a 7.947
_cell_length_b 7.947
_cell_length_c 2.858
_cell_angle_alpha 90.00
_cell_angle_beta 90.00
_cell_angle_gamma 90.00
loop_
_space_group_symop_operation_xyz
'x,y,z'
loop_
_atom_site_label
_atom_site_type_symbol
_atom_site_fract_x
_atom_site_fract_y
_atom_site_fract_z
_atom_site_occupancy
Na1 Na 0.000 0.000 0.000 1
Na2 Na 0.500 0.500 0.000 1
Ta1 Ta 0.151 0.349 0.500 1
Ta2 Ta 0.349 0.849 0.500 1
Ta3 Ta 0.651 0.151 0.500 1
Ta4 Ta 0.849 0.651 0.500 1
Ir1 Ir 0.141 0.641 0.000 1
Ir2 Ir 0.359 0.141 0.000 1
Ir3 Ir 0.641 0.859 0.000 1
Ir4 Ir 0.859 0.359 0.000 1
# N(E_F) (states/eV/cell): 6.011
# Spin magnetization (μB per cell): 0.000

***

Relative to the most stable structure, the computed energies are a) 0.027; b) 0.000, all in eV/atom.

***

a) # NaTc3Ir (GGA-PBE, optimized geometry)
data_NaTc3Ir
_chemical_formula_sum 'Na1 Tc3 Ir1'
_space_group_name_H-M_alt 'P 1'
_space_group_IT_number 1
_cell_length_a 4.348
_cell_length_b 4.348
_cell_length_c 4.348
_cell_angle_alpha 90.00
_cell_angle_beta 90.00
_cell_angle_gamma 90.00
loop_
_space_group_symop_operation_xyz
'x,y,z'
loop_
_atom_site_label
_atom_site_type_symbol
_atom_site_fract_x
_atom_site_fract_y
_atom_site_fract_z
_atom_site_occupancy
Na1 Na 0.000 0.000 0.000 1
Tc1 Tc 0.000 0.000 0.500 1
Tc2 Tc 0.000 0.500 0.000 1
Tc3 Tc 0.500 0.000 0.000 1
Ir1 Ir 0.500 0.500 0.500 1
# N(E_F) (states/eV/cell): 5.764
# Spin magnetization (μB per cell): 1.207

***

b) # NaTc3Ir (GGA-PBE, optimized geometry)
data_NaTc3Ir
_chemical_formula_sum 'Na1 Tc3 Ir1'
_space_group_name_H-M_alt 'P 1'
_space_group_IT_number 1
_cell_length_a 4.789
_cell_length_b 4.789
_cell_length_c 4.789
_cell_angle_alpha 90.00
_cell_angle_beta 90.00
_cell_angle_gamma 90.00
loop_
_space_group_symop_operation_xyz
'x,y,z'
loop_
_atom_site_label
_atom_site_type_symbol
_atom_site_fract_x
_atom_site_fract_y
_atom_site_fract_z
_atom_site_occupancy
Na1 Na 0.000 0.000 0.000 1
Tc1 Tc 0.000 0.500 0.500 1
Tc2 Tc 0.500 0.000 0.500 1
Tc3 Tc 0.500 0.500 0.000 1
Ir1 Ir 0.500 0.500 0.500 1
# N(E_F) (states/eV/cell): 5.636
# Spin magnetization (μB per cell): 3.313

***

Relative to the most stable structure, the computed energies are a) 0.948; b) 0.000, all in eV/atom.

***

a) # NaTc2Ir (GGA-PBE, optimized geometry)
data_NaTc2Ir
_chemical_formula_sum 'Na1 Tc2 Ir1'
_space_group_name_H-M_alt 'P 1'
_space_group_IT_number 1
_cell_length_a 4.403
_cell_length_b 4.403
_cell_length_c 4.403
_cell_angle_alpha 60.00
_cell_angle_beta 60.00
_cell_angle_gamma 60.00
loop_
_space_group_symop_operation_xyz
'x,y,z'
loop_
_atom_site_label
_atom_site_type_symbol
_atom_site_fract_x
_atom_site_fract_y
_atom_site_fract_z
_atom_site_occupancy
Na1 Na 0.000 0.000 0.000 1
Tc1 Tc 0.250 0.250 0.250 1
Tc2 Tc 0.750 0.750 0.750 1
Ir1 Ir 0.500 0.500 0.500 1
# N(E_F) (states/eV/cell): 7.869
# Spin magnetization (μB per cell): 0.000

***

b) # NaTc2Ir (GGA-PBE, optimized geometry)
data_NaTc2Ir
_chemical_formula_sum 'Na2 Tc4 Ir2'
_space_group_name_H-M_alt 'P 1'
_space_group_IT_number 1
_cell_length_a 5.875
_cell_length_b 5.875
_cell_length_c 5.875
_cell_angle_alpha 101.30
_cell_angle_beta 101.30
_cell_angle_gamma 127.45
loop_
_space_group_symop_operation_xyz
'x,y,z'
loop_
_atom_site_label
_atom_site_type_symbol
_atom_site_fract_x
_atom_site_fract_y
_atom_site_fract_z
_atom_site_occupancy
Na1 Na 0.000 0.000 0.000 1
Na2 Na 0.750 0.250 0.500 1
Tc1 Tc 0.180 0.625 0.055 1
Tc2 Tc 0.375 0.430 0.555 1
Tc3 Tc 0.570 0.125 0.945 1
Tc4 Tc 0.875 0.820 0.445 1
Ir1 Ir 0.250 0.750 0.500 1
Ir2 Ir 0.500 0.500 0.000 1
# N(E_F) (states/eV/cell): 4.634
# Spin magnetization (μB per cell): 0.000

***

Relative to the most stable structure, the computed energies are a) 0.000; b) 0.149, all in eV/atom.

***

a) # Na2TcIr (GGA-PBE, optimized geometry)
data_Na2TcIr
_chemical_formula_sum 'Na2 Tc1 Ir1'
_space_group_name_H-M_alt 'P 1'
_space_group_IT_number 1
_cell_length_a 4.672
_cell_length_b 4.672
_cell_length_c 4.672
_cell_angle_alpha 60.00
_cell_angle_beta 60.00
_cell_angle_gamma 60.00
loop_
_space_group_symop_operation_xyz
'x,y,z'
loop_
_atom_site_label
_atom_site_type_symbol
_atom_site_fract_x
_atom_site_fract_y
_atom_site_fract_z
_atom_site_occupancy
Na1 Na 0.250 0.250 0.250 1
Na2 Na 0.750 0.750 0.750 1
Tc1 Tc 0.000 0.000 0.000 1
Ir1 Ir 0.500 0.500 0.500 1
# N(E_F) (states/eV/cell): 2.836
# Spin magnetization (μB per cell): 3.628

***

b) # Na2TcIr (GGA-PBE, optimized geometry)
data_Na2TcIr
_chemical_formula_sum 'Na4 Tc2 Ir2'
_space_group_name_H-M_alt 'P 1'
_space_group_IT_number 1
_cell_length_a 7.500
_cell_length_b 7.500
_cell_length_c 7.500
_cell_angle_alpha 95.61
_cell_angle_beta 95.61
_cell_angle_gamma 143.57
loop_
_space_group_symop_operation_xyz
'x,y,z'
loop_
_atom_site_label
_atom_site_type_symbol
_atom_site_fract_x
_atom_site_fract_y
_atom_site_fract_z
_atom_site_occupancy
Na1 Na 0.375 0.248 0.373 1
Na2 Na 0.752 0.125 0.127 1
Na3 Na 0.875 0.002 0.627 1
Na4 Na 0.998 0.625 0.873 1
Tc1 Tc 0.250 0.750 0.500 1
Tc2 Tc 0.500 0.500 0.000 1
Ir1 Ir 0.000 0.000 0.000 1
Ir2 Ir 0.750 0.250 0.500 1
# N(E_F) (states/eV/cell): 7.015
# Spin magnetization (μB per cell): 5.726

***

Relative to the most stable structure, the computed energies are a) 0.138; b) 0.000, all in eV/atom.